# MnTlBr2 (PBE-GGA, relaxed)
data_MnTlBr2
_chemical_formula_sum 'Mn4 Tl4 Br8'
_space_group_name_H-M_alt 'F -4 3 m'
_space_group_IT_number 216
_space_group_name_Hall 'F -4 2 3'
_cell_length_a 7.6897
_cell_length_b 7.6897
_cell_length_c 7.6897
_cell_angle_alpha 90.00
_cell_angle_beta 90.00
_cell_angle_gamma 90.00
loop_
_atom_site_label
_atom_site_type_symbol
_atom_site_fract_x
_atom_site_fract_y
_atom_site_fract_z
_atom_site_occupancy
Mn1 Mn 0.0000 0.0000 0.0000 1
Tl1 Tl 0.2500 0.2500 0.2500 1
Br1 Br 0.0000 0.0000 0.5000 1
Br2 Br 0.2500 0.2500 0.7500 1
# E: -3.57 eV/atom
# Energy relative to the lowest polymorph listed for this composition: 633 meV/atom
# Formation energy (no corrections): 0.61 eV/f.u.